i) # Tl2InPb | Alexandria | SCAN | single point on PBEsol structure
data_Tl2InPb
_chemical_formula_sum 'Tl4 In2 Pb2'
_space_group_name_H-M_alt 'C m m m'
_space_group_IT_number 65
_space_group_name_Hall '-C 2 2'
_cell_length_a 3.771
_cell_length_b 5.541
_cell_length_c 10.681
_cell_angle_alpha 90.00
_cell_angle_beta 90.00
_cell_angle_gamma 90.00
loop_
_atom_site_label
_atom_site_type_symbol
_atom_site_fract_x
_atom_site_fract_y
_atom_site_fract_z
Tl1 Tl 0.000 0.000 0.243
In1 In 0.000 0.500 0.000
Pb1 Pb 0.000 0.500 0.500
# Size of the total moment ... 0.00 μB per cell
# N(E_F) ... 3.14 states/eV/cell
# V ... 223.2 Å³ per cell



ii) # Tl2InPb | Alexandria | SCAN | single point on PBEsol structure
data_Tl2InPb
_chemical_formula_sum 'Tl4 In2 Pb2'
_space_group_name_H-M_alt 'C 1 m 1'
_space_group_IT_number 8
_space_group_name_Hall 'C -2y'
_cell_length_a 11.333
_cell_length_b 3.444
_cell_length_c 5.829
_cell_angle_alpha 90.00
_cell_angle_beta 101.96
_cell_angle_gamma 90.00
loop_
_atom_site_label
_atom_site_type_symbol
_atom_site_fract_x
_atom_site_fract_y
_atom_site_fract_z
Tl1 Tl 0.000 0.000 0.000
Tl2 Tl 0.247 0.000 0.757
In1 In 0.247 0.500 0.253
Pb1 Pb 0.494 0.000 0.492
# Size of the total moment ... 0.00 μB per cell
# N(E_F) ... 3.46 states/eV/cell
# V ... 222.6 Å³ per cell



Stability, highest: ii)



i) # Tl2InPb | Alexandria | SCAN | single point on PBEsol structure
data_Tl2InPb
_chemical_formula_sum 'Tl4 In2 Pb2'
_space_group_name_H-M_alt 'I m m 2'
_space_group_IT_number 44
_space_group_name_Hall 'I 2 -2'
_cell_length_a 3.643
_cell_length_b 5.603
_cell_length_c 10.938
_cell_angle_alpha 90.00
_cell_angle_beta 90.00
_cell_angle_gamma 90.00
loop_
_atom_site_label
_atom_site_type_symbol
_atom_site_fract_x
_atom_site_fract_y
_atom_site_fract_z
Tl1 Tl 0.000 0.000 0.000
Tl2 Tl 0.000 0.500 0.247
In1 In 0.000 0.500 0.743
Pb1 Pb 0.000 0.000 0.489
# Size of the total moment ... 0.00 μB per cell
# N(E_F) ... 3.52 states/eV/cell
# V ... 223.3 Å³ per cell



ii) # Tl2InPb | Alexandria | SCAN | single point on PBEsol structure
data_Tl2InPb
_chemical_formula_sum 'Tl2 In1 Pb1'
_space_group_name_H-M_alt 'P 1 m 1'
_space_group_IT_number 6
_space_group_name_Hall 'P -2y'
_cell_length_a 3.365
_cell_length_b 5.562
_cell_length_c 6.006
_cell_angle_alpha 90.00
_cell_angle_beta 94.23
_cell_angle_gamma 90.00
loop_
_atom_site_label
_atom_site_type_symbol
_atom_site_fract_x
_atom_site_fract_y
_atom_site_fract_z
Tl1 Tl 0.000 0.000 0.000
Tl2 Tl 0.103 0.500 0.688
In1 In 0.584 0.500 0.193
Pb1 Pb 0.538 0.000 0.491
# Size of the total moment ... 0.00 μB per cell
# N(E_F) ... 1.80 states/eV/cell
# V ... 112.1 Å³ per cell



iii) # Tl2InPb | Alexandria | SCAN | single point on PBEsol structure
data_Tl2InPb
_chemical_formula_sum 'Tl4 In2 Pb2'
_space_group_name_H-M_alt 'I -4 m 2'
_space_group_IT_number 119
_space_group_name_Hall 'I -4 -2'
_cell_length_a 4.896
_cell_length_b 4.896
_cell_length_c 9.260
_cell_angle_alpha 90.00
_cell_angle_beta 90.00
_cell_angle_gamma 90.00
loop_
_atom_site_label
_atom_site_type_symbol
_atom_site_fract_x
_atom_site_fract_y
_atom_site_fract_z
Tl1 Tl 0.000 0.000 0.000
Tl2 Tl 0.000 0.500 0.250
In1 In 0.000 0.000 0.500
Pb1 Pb 0.000 0.500 0.750
# Size of the total moment ... 0.00 μB per cell
# N(E_F) ... 3.21 states/eV/cell
# V ... 221.9 Å³ per cell



Stability, highest: iii)



i) # Zn2InPb | Alexandria | SCAN | single point on PBEsol structure
data_Zn2InPb
_chemical_formula_sum 'Zn4 In2 Pb2'
_space_group_name_H-M_alt 'I m m m'
_space_group_IT_number 71
_space_group_name_Hall '-I 2 2'
_cell_length_a 4.363
_cell_length_b 5.002
_cell_length_c 7.878
_cell_angle_alpha 90.00
_cell_angle_beta 90.00
_cell_angle_gamma 90.00
loop_
_atom_site_label
_atom_site_type_symbol
_atom_site_fract_x
_atom_site_fract_y
_atom_site_fract_z
Zn1 Zn 0.000 0.000 0.241
In1 In 0.000 0.500 0.500
Pb1 Pb 0.000 0.500 0.000
# Size of the total moment ... 0.00 μB per cell
# N(E_F) ... 2.95 states/eV/cell
# V ... 171.9 Å³ per cell



ii) # Zn2InPb | Alexandria | SCAN | single point on PBEsol structure
data_Zn2InPb
_chemical_formula_sum 'Zn6 In3 Pb3'
_space_group_name_H-M_alt 'R 3 m'
_space_group_IT_number 160
_space_group_name_Hall 'R 3 -2"'
_cell_length_a 3.3673
_cell_length_b 3.3673
_cell_length_c 26.7841
_cell_angle_alpha 90.00
_cell_angle_beta 90.00
_cell_angle_gamma 120.00
loop_
_atom_site_label
_atom_site_type_symbol
_atom_site_fract_x
_atom_site_fract_y
_atom_site_fract_z
Zn1 Zn 0.0000 0.0000 0.0000
Zn2 Zn 0.0000 0.0000 0.2701
In1 In 0.0000 0.0000 0.7471
Pb1 Pb 0.0000 0.0000 0.5161
# Size of the total moment ... 0.00 μB per cell
# N(E_F) ... 4.75 states/eV/cell
# V ... 263.0 Å³ per cell



iii) # Zn2InPb | Alexandria | SCAN | single point on PBEsol structure
data_Zn2InPb
_chemical_formula_sum 'Zn4 In2 Pb2'
_space_group_name_H-M_alt 'C m m 2'
_space_group_IT_number 35
_space_group_name_Hall 'C 2 -2'
_cell_length_a 4.321
_cell_length_b 4.757
_cell_length_c 8.273
_cell_angle_alpha 90.00
_cell_angle_beta 90.00
_cell_angle_gamma 90.00
loop_
_atom_site_label
_atom_site_type_symbol
_atom_site_fract_x
_atom_site_fract_y
_atom_site_fract_z
Zn1 Zn 0.000 0.000 0.000
Zn2 Zn 0.000 0.500 0.166
In1 In 0.000 0.000 0.404
Pb1 Pb 0.000 0.500 0.738
# Size of the total moment ... 0.00 μB per cell
# N(E_F) ... 2.45 states/eV/cell
# V ... 170.0 Å³ per cell



Stability, highest: iii)



i) # TlIn2Pt | Alexandria | SCAN | single point on PBEsol structure
data_TlIn2Pt
_chemical_formula_sum 'Tl2 In4 Pt2'
_space_group_name_H-M_alt 'C 1 2/m 1'
_space_group_IT_number 12
_space_group_name_Hall '-C 2y'
_cell_length_a 5.935
_cell_length_b 6.701
_cell_length_c 4.388
_cell_angle_alpha 90.00
_cell_angle_beta 100.59
_cell_angle_gamma 90.00
loop_
_atom_site_label
_atom_site_type_symbol
_atom_site_fract_x
_atom_site_fract_y
_atom_site_fract_z
Tl1 Tl 0.000 0.000 0.000
In1 In 0.250 0.250 0.500
Pt1 Pt 0.000 0.500 0.000
# Size of the total moment ... 0.00 μB per cell
# N(E_F) ... 3.29 states/eV/cell
# V ... 171.6 Å³ per cell



ii) # TlIn2Pt | Alexandria | SCAN | single point on PBEsol structure
data_TlIn2Pt
_chemical_formula_sum 'Tl4 In8 Pt4'
_space_group_name_H-M_alt 'F m -3 m'
_space_group_IT_number 225
_space_group_name_Hall '-F 4 2 3'
_cell_length_a 6.988
_cell_length_b 6.988
_cell_length_c 6.988
_cell_angle_alpha 90.00
_cell_angle_beta 90.00
_cell_angle_gamma 90.00
loop_
_atom_site_label
_atom_site_type_symbol
_atom_site_fract_x
_atom_site_fract_y
_atom_site_fract_z
Tl1 Tl 0.000 0.000 0.000
In1 In 0.250 0.250 0.250
Pt1 Pt 0.000 0.000 0.500
# Size of the total moment ... 0.00 μB per cell
# N(E_F) ... 7.18 states/eV/cell
# V ... 341.2 Å³ per cell



iii) # TlIn2Pt | Alexandria | SCAN | single point on PBEsol structure
data_TlIn2Pt
_chemical_formula_sum 'Tl1 In2 Pt1'
_space_group_name_H-M_alt 'P 4/m m m'
_space_group_IT_number 123
_space_group_name_Hall '-P 4 2'
_cell_length_a 3.256
_cell_length_b 3.256
_cell_length_c 8.419
_cell_angle_alpha 90.00
_cell_angle_beta 90.00
_cell_angle_gamma 90.00
loop_
_atom_site_label
_atom_site_type_symbol
_atom_site_fract_x
_atom_site_fract_y
_atom_site_fract_z
Tl1 Tl 0.000 0.000 0.000
In1 In 0.500 0.500 0.304
Pt1 Pt 0.000 0.000 0.500
# Size of the total moment ... 0.00 μB per cell
# N(E_F) ... 1.34 states/eV/cell
# V ... 89.3 Å³ per cell



iv) # TlIn2Pt | Alexandria | SCAN | single point on PBEsol structure
data_TlIn2Pt
_chemical_formula_sum 'Tl1 In2 Pt1'
_space_group_name_H-M_alt 'P 1 2/m 1'
_space_group_IT_number 10
_space_group_name_Hall '-P 2y'
_cell_length_a 3.018
_cell_length_b 3.431
_cell_length_c 8.691
_cell_angle_alpha 90.00
_cell_angle_beta 90.38
_cell_angle_gamma 90.00
loop_
_atom_site_label
_atom_site_type_symbol
_atom_site_fract_x
_atom_site_fract_y
_atom_site_fract_z
Tl1 Tl 0.000 0.000 0.000
In1 In 0.004 0.500 0.693
Pt1 Pt 0.500 0.000 0.500
# Size of the total moment ... 0.00 μB per cell
# N(E_F) ... 1.62 states/eV/cell
# V ... 90.0 Å³ per cell



Stability, highest: iv)



i) # InRe | Alexandria | SCAN | single point on PBEsol structure
data_InRe
_chemical_formula_sum 'In4 Re4'
_space_group_name_H-M_alt 'I 41/a m d'
_space_group_IT_number 141
_cell_length_a 4.186
_cell_length_b 4.186
_cell_length_c 7.724
_cell_angle_alpha 90.00
_cell_angle_beta 90.00
_cell_angle_gamma 90.00
loop_
_space_group_symop_operation_xyz
'x,y,z'
'-x,-y,-z'
'-y+1/4,x+3/4,z+1/4'
'y+1/4,-x+3/4,-z+1/4'
'-x+1/2,-y,z+1/2'
'x+1/2,y,-z+1/2'
'y+1/4,-x+1/4,z+3/4'
'-y+1/4,x+1/4,-z+3/4'
'x,-y,-z'
'-x,y,z'
'-y+1/4,-x+1/4,-z+3/4'
'y+1/4,x+1/4,z+3/4'
'-x+1/2,y,-z+1/2'
'x+1/2,-y,z+1/2'
'y+1/4,x+3/4,-z+1/4'
'-y+1/4,-x+3/4,z+1/4'
'x+1/2,y+1/2,z+1/2'
'-x+1/2,-y+1/2,-z+1/2'
'-y+3/4,x+1/4,z+3/4'
'y+3/4,-x+1/4,-z+3/4'
'-x,-y+1/2,z'
'x,y+1/2,-z'
'y+3/4,-x+3/4,z+1/4'
'-y+3/4,x+3/4,-z+1/4'
'x+1/2,-y+1/2,-z+1/2'
'-x+1/2,y+1/2,z+1/2'
'-y+3/4,-x+3/4,-z+1/4'
'y+3/4,x+3/4,z+1/4'
'-x,y+1/2,-z'
'x,-y+1/2,z'
'y+3/4,x+1/4,-z+3/4'
'-y+3/4,-x+1/4,z+3/4'
loop_
_atom_site_label
_atom_site_type_symbol
_atom_site_fract_x
_atom_site_fract_y
_atom_site_fract_z
In1 In 0.000 0.250 0.375
Re1 Re 0.000 0.250 0.875
# Size of the total moment ... 0.00 μB per cell
# N(E_F) ... 5.65 states/eV/cell
# V ... 135.4 Å³ per cell



ii) # InRe | Alexandria | SCAN | single point on PBEsol structure
data_InRe
_chemical_formula_sum 'In4 Re4'
_space_group_name_H-M_alt 'C 1 2/m 1'
_space_group_IT_number 12
_space_group_name_Hall '-C 2y'
_cell_length_a 10.282
_cell_length_b 2.992
_cell_length_c 4.847
_cell_angle_alpha 90.00
_cell_angle_beta 110.36
_cell_angle_gamma 90.00
loop_
_atom_site_label
_atom_site_type_symbol
_atom_site_fract_x
_atom_site_fract_y
_atom_site_fract_z
In1 In 0.107 0.000 0.317
Re1 Re 0.150 0.500 0.841
# Size of the total moment ... 0.00 μB per cell
# N(E_F) ... 5.66 states/eV/cell
# V ... 139.8 Å³ per cell



Stability, highest: ii)



i) # InRe | Alexandria | SCAN | single point on PBEsol structure
data_InRe
_chemical_formula_sum 'In2 Re2'
_space_group_name_H-M_alt 'P 1 21/m 1'
_space_group_IT_number 11
_space_group_name_Hall '-P 2yb'
_cell_length_a 3.098
_cell_length_b 4.307
_cell_length_c 5.595
_cell_angle_alpha 90.00
_cell_angle_beta 106.14
_cell_angle_gamma 90.00
loop_
_atom_site_label
_atom_site_type_symbol
_atom_site_fract_x
_atom_site_fract_y
_atom_site_fract_z
In1 In 0.172 0.250 0.345
Re1 Re 0.445 0.250 0.885
# Size of the total moment ... 0.00 μB per cell
# N(E_F) ... 2.31 states/eV/cell
# V ... 71.7 Å³ per cell



ii) # InRe | Alexandria | SCAN | single point on PBEsol structure
data_InRe
_chemical_formula_sum 'In2 Re2'
_space_group_name_H-M_alt 'P 63/m m c'
_space_group_IT_number 194
_space_group_name_Hall '-P 6c 2c'
_cell_length_a 4.6162
_cell_length_b 4.6162
_cell_length_c 5.3007
_cell_angle_alpha 90.00
_cell_angle_beta 90.00
_cell_angle_gamma 120.00
loop_
_atom_site_label
_atom_site_type_symbol
_atom_site_fract_x
_atom_site_fract_y
_atom_site_fract_z
In1 In 0.3333 0.6667 0.2500
Re1 Re 0.3333 0.6667 0.7500
# Size of the total moment ... 3.71 μB per cell
# N(E_F) ... 2.37 states/eV/cell
# V ... 97.8 Å³ per cell



Stability, highest: i)